# 1
Material: LiTmCu2
Method: DFT, PBE
State: optimized geometry

Properties
- ΔH_f (0 K): -127 meV per atom
- Offset from the most stable computed form: 0.000 eV/atom
- Space group: R-3m

abc: 4.2615 4.2615 5.0367
angles: 64.97 64.97 60.00
Last column: nearest neighbours and their distance in Å.
Positions (direct):
1 Cu 0.7890 0.7890 0.6329  3 Li 2.53, 3 Cu 2.72, 1 Tm 2.78
2 Cu 0.2110 0.2110 0.3671  3 Li 2.53, 3 Cu 2.72, 1 Tm 2.78
3 Tm 0.0000 0.0000 0.0000  8 Cu 2.78-2.94
4 Li 0.5000 0.5000 0.5000  6 Cu 2.53



# 2
Material: Li2TmCu10
Method: DFT, PBE
State: optimized geometry

Properties
- ΔH_f (0 K): -57 meV per atom
- Space group: Fmmm

abc: 4.7399 6.4120 6.5665
angles: 82.33 68.84 68.31
Last column: nearest neighbours and their distance in Å.
Positions (direct):
1 Cu 0.0000 0.5000 0.0000  10 Cu 2.37-2.59
2 Cu 0.7193 0.7835 0.7779  2 Li 2.44, 7 Cu 2.47-2.72
3 Cu 0.0057 0.6375 0.3511  6 Cu 2.45-2.65, 2 Li 2.63
4 Li 0.5000 0.0000 0.5000  2 Li 2.37, 8 Cu 2.44-2.63
5 Cu 0.9943 0.3625 0.6489  6 Cu 2.45-2.65, 2 Li 2.63
6 Li 0.0000 0.0000 0.5000  2 Li 2.37, 8 Cu 2.44-2.63
7 Cu 0.5000 0.5000 0.0000  10 Cu 2.37-2.59
8 Cu 0.5028 0.2165 0.7779  2 Li 2.44, 7 Cu 2.47-2.72
9 Cu 0.6432 0.3625 0.3511  6 Cu 2.45-2.65, 2 Li 2.63
10 Tm 0.0000 0.0000 0.0000  16 Cu 3.02-3.21, 4 Li 3.28
11 Cu 0.4972 0.7835 0.2221  2 Li 2.44, 7 Cu 2.47-2.72
12 Cu 0.3568 0.6375 0.6489  6 Cu 2.45-2.65, 2 Li 2.63
13 Cu 0.2807 0.2165 0.2221  2 Li 2.44, 7 Cu 2.47-2.72



# 3
Material: LiTmCu
Method: DFT, PBE
State: optimized geometry

Properties
- ΔH_f (0 K): -22 meV per atom
- Offset from the most stable computed form: 0.093 eV/atom
- Space group: P-6m2

abc: 3.3848 4.4133 4.4133
angles: 120.00 90.00 90.00
Last column: nearest neighbours and their distance in Å.
Positions (direct):
1 Tm 0.6667 0.6667 0.3333  6 Cu 3.06, 6 Li 3.06, 2 Tm 3.38
2 Cu 0.1662 0.3333 0.6667  3 Li 2.55
3 Li 0.1671 0.0000 0.0000  3 Cu 2.55



# 4
Material: LiTmCu2
Method: DFT, PBE
State: optimized geometry

Properties
- ΔH_f (0 K): -109 meV per atom
- Offset from the most stable computed form: 0.019 eV/atom
- Space group: P4/mmm

abc: 3.3265 3.3265 6.0716
angles: 90.00 90.00 90.00
Last column: nearest neighbours and their distance in Å.
Positions (direct):
1 Tm 0.5000 0.5000 0.5000  8 Cu 2.93, 2 Li 3.04
2 Cu 0.0000 0.0000 0.2118  1 Cu 2.57, 4 Li 2.68
3 Li 0.5000 0.5000 0.0000  8 Cu 2.68
4 Cu 0.0000 0.0000 0.7882  1 Cu 2.57, 4 Li 2.68



# 5
Material: LiTm2Cu9
Method: DFT, PBE
State: optimized geometry

Properties
- ΔH_f (0 K): -122 meV per atom
- Space group: R-3m

abc: 5.0682 5.0682 8.6995
angles: 73.06 73.06 60.00
Last column: nearest neighbours and their distance in Å.
Positions (direct):
1 Cu 0.4166 0.4166 0.2465  7 Cu 2.48-2.55
2 Cu 0.6669 0.6669 0.9993  6 Cu 2.48-2.51
3 Li 0.0000 0.0000 0.0000  18 Cu 2.93-3.24
4 Cu 0.0796 0.5834 0.7535  7 Cu 2.48-2.55
5 Cu 0.9204 0.4166 0.2465  7 Cu 2.48-2.55
6 Tm 0.8629 0.8629 0.4114  12 Cu 2.87-3.16
7 Cu 0.3331 0.3331 0.0007  6 Cu 2.48-2.51
8 Cu 0.5834 0.5834 0.7535  7 Cu 2.48-2.55
9 Cu 0.5000 0.5000 0.5000  6 Cu 2.55
10 Cu 0.4166 0.9204 0.2465  7 Cu 2.48-2.55
11 Cu 0.5834 0.0796 0.7535  7 Cu 2.48-2.55
12 Tm 0.1371 0.1371 0.5886  12 Cu 2.87-3.16



# 6
Material: LiTmCu5
Method: DFT, PBE
State: optimized geometry

Properties
- ΔH_f (0 K): -158 meV per atom
- Space group: Pnma

abc: 5.0457 8.0069 10.1592
angles: 90.00 90.00 90.00
Last column: nearest neighbours and their distance in Å.
Positions (direct):
1 Cu 0.9936 0.4313 0.1896  7 Cu 2.45-2.59, 2 Li 2.69-2.70
2 Cu 0.2500 0.0954 0.4825  5 Cu 2.45-2.54, 1 Li 2.67
3 Cu 0.2500 0.5954 0.0175  5 Cu 2.45-2.54, 1 Li 2.67
4 Cu 0.7500 0.0613 0.9042  1 Li 2.48, 4 Cu 2.49-2.59
5 Li 0.2500 0.8619 0.8590  8 Cu 2.48-2.77
6 Cu 0.7500 0.9046 0.5175  5 Cu 2.45-2.54, 1 Li 2.67
7 Cu 0.7500 0.8173 0.7518  7 Cu 2.45-2.59
8 Tm 0.7500 0.7530 0.0626  11 Cu 2.86-3.20, 2 Li 3.15-3.18
9 Cu 0.2500 0.1827 0.2482  7 Cu 2.45-2.59
10 Cu 0.2500 0.4387 0.4042  1 Li 2.48, 4 Cu 2.49-2.59
11 Cu 0.5064 0.4313 0.1896  7 Cu 2.45-2.59, 2 Li 2.69-2.70
12 Tm 0.7500 0.2530 0.4374  11 Cu 2.86-3.20, 2 Li 3.15-3.18
13 Li 0.7500 0.1381 0.1410  8 Cu 2.48-2.77
14 Cu 0.0064 0.5687 0.8104  7 Cu 2.45-2.59, 2 Li 2.69-2.70
15 Cu 0.0064 0.0687 0.6896  7 Cu 2.45-2.59, 2 Li 2.69-2.70
16 Li 0.2500 0.3619 0.6410  8 Cu 2.48-2.77
17 Tm 0.2500 0.7470 0.5626  11 Cu 2.86-3.20, 2 Li 3.15-3.18
18 Cu 0.9936 0.9313 0.3104  7 Cu 2.45-2.59, 2 Li 2.69-2.70
19 Li 0.7500 0.6381 0.3590  8 Cu 2.48-2.77
20 Cu 0.2500 0.6827 0.2518  7 Cu 2.45-2.59
21 Cu 0.4936 0.5687 0.8104  7 Cu 2.45-2.59, 2 Li 2.69-2.70
22 Cu 0.7500 0.3173 0.7482  7 Cu 2.45-2.59
23 Cu 0.2500 0.9387 0.0958  1 Li 2.48, 4 Cu 2.49-2.59
24 Tm 0.2500 0.2470 0.9374  11 Cu 2.86-3.20, 2 Li 3.15-3.18
25 Cu 0.7500 0.4046 0.9825  5 Cu 2.45-2.54, 1 Li 2.67
26 Cu 0.7500 0.5613 0.5958  1 Li 2.48, 4 Cu 2.49-2.59
27 Cu 0.4936 0.0687 0.6896  7 Cu 2.45-2.59, 2 Li 2.69-2.70
28 Cu 0.5064 0.9313 0.3104  7 Cu 2.45-2.59, 2 Li 2.69-2.70



# 7
Material: LiTm2Cu
Method: DFT, PBE
State: optimized geometry

Properties
- ΔH_f (0 K): 109 meV per atom
- Space group: R-3m

abc: 3.4387 3.4387 9.7744
angles: 79.87 79.87 60.00
Last column: nearest neighbours and their distance in Å.
Positions (direct):
1 Tm 0.7372 0.7372 0.7883  3 Cu 2.84
2 Li 0.5000 0.5000 0.5000  6 Tm 3.40, 6 Li 3.44
3 Cu 0.0000 0.0000 0.0000  6 Tm 2.84
4 Tm 0.2628 0.2628 0.2117  3 Cu 2.84



# 8
Material: Li2TmCu9
Method: DFT, PBE
State: optimized geometry

Properties
- ΔH_f (0 K): -111 meV per atom
- Offset from the most stable computed form: 0.009 eV/atom
- Space group: P4/mbm

abc: 4.8952 8.2752 8.2752
angles: 90.00 90.00 90.00
Last column: nearest neighbours and their distance in Å.
Positions (direct):
1 Cu 0.5000 0.4399 0.7075  8 Cu 2.47-2.72
2 Cu 0.5000 0.2925 0.4399  8 Cu 2.47-2.72
3 Cu 0.7586 0.6814 0.8186  7 Cu 2.36-2.54
4 Cu 0.2414 0.1814 0.6814  7 Cu 2.36-2.54
5 Cu 0.2414 0.3186 0.1814  7 Cu 2.36-2.54
6 Cu 0.7586 0.1814 0.6814  7 Cu 2.36-2.54
7 Tm 0.0000 0.0000 0.0000  16 Cu 3.03-3.26, 4 Li 3.33
8 Li 0.0000 0.1148 0.3852  12 Cu 2.66-2.89, 1 Li 2.69
9 Cu 0.5000 0.7075 0.5601  8 Cu 2.47-2.72
10 Cu 0.2414 0.6814 0.8186  7 Cu 2.36-2.54
11 Cu 0.5000 0.0000 0.5000  8 Cu 2.47
12 Cu 0.5000 0.2075 0.9399  8 Cu 2.47-2.72
13 Tm 0.0000 0.5000 0.5000  16 Cu 3.03-3.26, 4 Li 3.33
14 Li 0.0000 0.3852 0.8852  12 Cu 2.66-2.89, 1 Li 2.69
15 Cu 0.5000 0.5601 0.2925  8 Cu 2.47-2.72
16 Cu 0.7586 0.8186 0.3186  7 Cu 2.36-2.54
17 Cu 0.7586 0.3186 0.1814  7 Cu 2.36-2.54
18 Li 0.0000 0.8852 0.6148  12 Cu 2.66-2.89, 1 Li 2.69
19 Cu 0.5000 0.0601 0.2075  8 Cu 2.47-2.72
20 Cu 0.2414 0.8186 0.3186  7 Cu 2.36-2.54
21 Li 0.0000 0.6148 0.1148  12 Cu 2.66-2.89, 1 Li 2.69
22 Cu 0.5000 0.7925 0.0601  8 Cu 2.47-2.72
23 Cu 0.5000 0.5000 0.0000  8 Cu 2.47
24 Cu 0.5000 0.9399 0.7925  8 Cu 2.47-2.72



# 9
Material: Li2Tm2Cu15
Method: DFT, PBE
State: optimized geometry

Properties
- ΔH_f (0 K): -147 meV per atom
- Space group: R-3m

abc: 6.4675 6.4675 6.4675
angles: 82.39 82.39 82.39
Last column: nearest neighbours and their distance in Å.
Positions (direct):
1 Tm 0.6534 0.6534 0.6534  15 Cu 2.97-3.28, 1 Li 3.18
2 Cu 0.6935 0.0000 0.3065  8 Cu 2.48-2.61
3 Cu 0.3065 0.6935 0.0000  8 Cu 2.48-2.61
4 Cu 0.3449 0.8402 0.3449  8 Cu 2.45-2.59, 1 Li 2.69
5 Tm 0.3466 0.3466 0.3466  15 Cu 2.97-3.28, 1 Li 3.18
6 Cu 0.1598 0.6551 0.6551  8 Cu 2.45-2.59, 1 Li 2.69
7 Cu 0.6935 0.3065 0.0000  8 Cu 2.48-2.61
8 Cu 0.0000 0.3065 0.6935  8 Cu 2.48-2.61
9 Cu 0.0000 0.5000 0.0000  8 Cu 2.47-2.48, 2 Li 2.62
10 Cu 0.0000 0.0000 0.5000  8 Cu 2.47-2.48, 2 Li 2.62
11 Cu 0.5000 0.0000 0.0000  8 Cu 2.47-2.48, 2 Li 2.62
12 Li 0.0941 0.0941 0.0941  1 Li 2.37, 3 Cu 2.62
13 Cu 0.8402 0.3449 0.3449  8 Cu 2.45-2.59, 1 Li 2.69
14 Cu 0.6551 0.1598 0.6551  8 Cu 2.45-2.59, 1 Li 2.69
15 Cu 0.3449 0.3449 0.8402  8 Cu 2.45-2.59, 1 Li 2.69
16 Cu 0.6551 0.6551 0.1598  8 Cu 2.45-2.59, 1 Li 2.69
17 Cu 0.3065 0.0000 0.6935  8 Cu 2.48-2.61
18 Li 0.9059 0.9059 0.9059  1 Li 2.37, 3 Cu 2.62
19 Cu 0.0000 0.6935 0.3065  8 Cu 2.48-2.61



# 10
Material: Li2TmCu9
Method: DFT, PBE
State: optimized geometry

Properties
- ΔH_f (0 K): -121 meV per atom
- Offset from the most stable computed form: 0.000 eV/atom
- Space group: R-3m

abc: 4.9388 4.9388 8.6126
angles: 73.34 73.34 60.00
Last column: nearest neighbours and their distance in Å.
Positions (direct):
1 Cu 0.4150 0.9167 0.2534  7 Cu 2.46-2.52
2 Cu 0.6674 0.6674 0.9979  6 Cu 2.49-2.52
3 Tm 0.0000 0.0000 0.0000  6 Cu 2.85
4 Cu 0.5850 0.0833 0.7466  7 Cu 2.46-2.52
5 Cu 0.9167 0.4150 0.2534  7 Cu 2.46-2.52
6 Li 0.8526 0.8526 0.4422  12 Cu 2.85-2.91, 3 Li 3.00
7 Cu 0.3326 0.3326 0.0021  6 Cu 2.49-2.52
8 Cu 0.5850 0.5850 0.7466  7 Cu 2.46-2.52
9 Cu 0.0833 0.5850 0.7466  7 Cu 2.46-2.52
10 Li 0.1474 0.1474 0.5578  12 Cu 2.85-2.91, 3 Li 3.00
11 Cu 0.5000 0.5000 0.5000  6 Cu 2.46
12 Cu 0.4150 0.4150 0.2534  7 Cu 2.46-2.52